Record 1
VASP calculation (PBE with a Hubbard U) on an optimized crystal structure of BaCoBP2HO9.

```
data_BaCoBP2HO9
_cell_length_a 5.281
_cell_length_b 7.964
_cell_length_c 8.253
_cell_angle_alpha 88.35
_cell_angle_beta 79.40
_cell_angle_gamma 87.13
_symmetry_space_group_name_H-M 'P -1'
_symmetry_Int_Tables_number 2
_symmetry_space_group_name_Hall '-P 1'
loop_
_atom_site_label
_atom_site_fract_x
_atom_site_fract_y
_atom_site_fract_z
Ba1 0.223 0.311 0.119
Co1 0.228 0.799 0.198
B1 0.389 0.749 0.547
P1 0.274 0.943 0.818
P2 0.300 0.432 0.699
H1 0.231 0.955 0.450
O1 0.007 0.984 0.775
O2 0.050 0.381 0.810
O3 0.226 0.833 0.443
O4 0.232 0.616 0.640
O5 0.253 0.794 0.944
O6 0.363 0.322 0.543
O7 0.407 0.093 0.867
O8 0.466 0.869 0.659
O9 0.475 0.571 0.207
```

- Crystal system: triclinic
- VASP energy: -6.981 eV/atom

Record 2
VASP calculation (PBE with a Hubbard U) on an optimized crystal structure of Ba2CoB6O12.

```
data_Ba2CoB6O12
_cell_length_a 7.0566
_cell_length_b 7.0566
_cell_length_c 16.4704
_cell_angle_alpha 90.00
_cell_angle_beta 90.00
_cell_angle_gamma 120.00
_symmetry_space_group_name_H-M 'R -3'
_symmetry_Int_Tables_number 148
_symmetry_space_group_name_Hall '-R 3'
loop_
_atom_site_label
_atom_site_fract_x
_atom_site_fract_y
_atom_site_fract_z
Ba1 0.0000 0.0000 0.2123
Co1 0.0000 0.0000 0.0000
B1 0.0550 0.8298 0.5887
O1 0.0011 0.7634 0.9199
O2 0.0519 0.8356 0.4106
```

- Crystal system: trigonal
- VASP energy: -7.632 eV/atom

Computed V, in the same sequence as the records: 11.36 11.27 Å³ per atom.